## TlIrRh2 (PBE)

Data for an optimized crystal structure of TlIrRh2.

```
data_TlIrRh2
_chemical_formula_sum 'Tl2 Ir2 Rh4'
_cell_length_a 4.0516
_cell_length_b 4.0516
_cell_length_c 7.8428
_cell_angle_alpha 90.00
_cell_angle_beta 90.00
_cell_angle_gamma 90.00
_symmetry_space_group_name_H-M 'I -4 m 2'
_symmetry_Int_Tables_number 119
_symmetry_space_group_name_Hall 'I -4 -2'
loop_
_atom_site_label
_atom_site_type_symbol
_atom_site_fract_x
_atom_site_fract_y
_atom_site_fract_z
_atom_site_occupancy
Tl1 Tl 0.0000 0.0000 0.0000 1
Ir1 Ir 0.0000 0.5000 0.7500 1
Rh1 Rh 0.0000 0.0000 0.5000 1
Rh2 Rh 0.0000 0.5000 0.2500 1
```

## Properties
As for the uncorrected energy: -6.23 eV per atom. The value obtained for the magnetization is 0.00 μB per formula unit.